Record 1
Here is a relaxed structure of La2CuPt2 from the Alexandria database. Energies are from PBE.

Total moment = 0.00 μB per formula unit
Symmetry = P4/mbm
DFT formation energy = -14.0 kcal/mol of atoms
Energy = -58.141 eV/cell

Cell: 8.125 8.125 3.800 Å, 90.00 90.00 90.00°
Sites, in units of the cell vectors:
La1 0.169 0.331 0.000
La2 0.331 0.831 0.000
La3 0.669 0.169 0.000
La4 0.831 0.669 0.000
Cu1 0.000 0.000 0.000
Cu2 0.500 0.500 0.000
Pt1 0.129 0.629 0.500
Pt2 0.371 0.129 0.500
Pt3 0.629 0.871 0.500
Pt4 0.871 0.371 0.500



Record 2
Here is a relaxed structure of NaRu2AuC from the Alexandria database. Energies are from PBE.

Total moment = 0.00 μB per formula unit
Symmetry = P4/mmm
DFT formation energy = 9.8 kcal/mol of atoms
Energy = -30.251 eV/cell

Cell: 3.997 3.997 4.575 Å, 90.00 90.00 90.00°
Sites, in units of the cell vectors:
Na1 0.000 0.000 0.000
Ru1 0.000 0.500 0.500
Ru2 0.500 0.000 0.500
Au1 0.500 0.500 0.000
C1 0.000 0.000 0.500



Record 3
Here is a relaxed structure of CuMoOs from the Alexandria database. Energies are from PBE.

Total moment = 0.00 μB per formula unit
Distance to the lowest polymorph of the same formula = 515.9 meV per atom
Symmetry = F-43m
DFT formation energy = 15.2 kcal/mol of atoms
Energy = -96.739 eV/cell

Cell: 5.893 5.893 5.893 Å, 90.00 90.00 90.00°
Sites, in units of the cell vectors:
Cu1 0.000 0.000 0.000
Cu2 0.000 0.500 0.500
Cu3 0.500 0.000 0.500
Cu4 0.500 0.500 0.000
Mo1 0.000 0.000 0.500
Mo2 0.000 0.500 0.000
Mo3 0.500 0.000 0.000
Mo4 0.500 0.500 0.500
Os1 0.250 0.250 0.750
Os2 0.250 0.750 0.250
Os3 0.750 0.250 0.250
Os4 0.750 0.750 0.750



Record 4
Here is a relaxed structure of FeSn6Ir from the Alexandria database. Energies are from PBE.

Total moment = 1.48 μB per formula unit
Symmetry = C2/m
DFT formation energy = 3.4 kcal/mol of atoms
Energy = -80.331 eV/cell

Cell: 6.656 9.651 6.547 Å, 90.00 100.73 90.00°
Sites, in units of the cell vectors:
Fe1 0.000 0.000 0.000
Fe2 0.500 0.500 0.000
Sn1 0.226 0.000 0.738
Sn2 0.250 0.169 0.238
Sn3 0.250 0.331 0.762
Sn4 0.250 0.669 0.762
Sn5 0.250 0.831 0.238
Sn6 0.274 0.500 0.262
Sn7 0.726 0.500 0.738
Sn8 0.750 0.169 0.762
Sn9 0.750 0.331 0.238
Sn10 0.750 0.669 0.238
Sn11 0.750 0.831 0.762
Sn12 0.774 0.000 0.262
Ir1 0.000 0.500 0.500
Ir2 0.500 0.000 0.500



Record 5
Here is a relaxed structure of TbH6Ru from the Alexandria database. Energies are from PBE.

Total moment = 0.42 μB per formula unit
Symmetry = R-3m
Energy = -35.459 eV/cell

Cell: 4.305 4.305 4.305 Å, 65.20 65.20 65.20°
Sites, in units of the cell vectors:
Tb1 0.000 0.000 0.000
H1 0.050 0.616 0.616
H2 0.384 0.384 0.950
H3 0.384 0.950 0.384
H4 0.616 0.050 0.616
H5 0.616 0.616 0.050
H6 0.950 0.384 0.384
Ru1 0.500 0.500 0.500



Record 6
Here is a relaxed structure of SnN3F from the Alexandria database. Energies are from PBE.

Total moment = 0.00 μB per formula unit
Symmetry = Pm-3m
Energy = -18.633 eV/cell

Cell: 3.713 3.713 3.713 Å, 90.00 90.00 90.00°
Sites, in units of the cell vectors:
Sn1 0.000 0.000 0.000
N1 0.000 0.500 0.500
N2 0.500 0.000 0.500
N3 0.500 0.500 0.000
F1 0.500 0.500 0.500